Computed, not measured: crystalline CuAg3Pd2 at its relaxed geometry at the PBE level of DFT.

The structure belongs to space group P-1 (No. 2); the cell edges are 4.891, 6.441 and 6.931 Å and the angles 112.07°, 90.18° and 105.47°. The distinct sites, in fractional coordinates, are Cu at (0.123, 0.113, 0.369), Ag at (0.035, 0.363, 0.783), Ag at (0.295, 0.630, 0.545), Ag at (0.373, 0.371, 0.125), Pd at (0.208, 0.880, 0.962) and Pd at (0.444, 0.116, 0.701).

Computed, not measured: crystalline CuAg2Pd3 at its relaxed geometry at the PBE level of DFT.

The structure belongs to space group Cmcm (No. 63); the cell edges are 8.167, 8.928 and 5.391 Å and the angles 90.00°, 90.00° and 90.00°. The distinct sites, in fractional coordinates, are Cu at (0.000, 0.227, 0.250), Ag at (0.172, 0.269, 0.750), Pd at (0.000, 0.500, 0.000) and Pd at (0.162, 0.000, 0.000).

Computed, not measured: crystalline Cu5AgPd4 at its relaxed geometry at the PBE level of DFT.

The structure belongs to space group P4/mmm (No. 123); the cell edges are 3.042, 3.042 and 15.112 Å and the angles 90.00°, 90.00° and 90.00°. The distinct sites, in fractional coordinates, are Cu at (0.000, 0.000, 0.000), Cu at (0.000, 0.000, 0.197), Cu at (0.000, 0.000, 0.392), Ag at (0.500, 0.500, 0.500), Pd at (0.500, 0.500, 0.099) and Pd at (0.500, 0.500, 0.296).

The raw total energy results, record by record, are as follows: -3.8518; -4.1236; -4.4976 eV/atom.
The E_form results, record by record, are as follows: -0.01; 0.11; -0.09 eV/atom.
The volume results, record by record, are as follows: 96.85; 98.28; 139.84 Å³/f.u..